1.
This record from the Alexandria database describes a relaxed La3Sm3Y5 crystal. The functional is PBE.

Unit cell a=9.7219 b=9.7219 c=5.6142 alpha=90.00 beta=90.00 gamma=120.00
Space group P-62m (No. 189)
One atom of each set of equivalent atoms:
La  0.0000  0.4054  0.0000 x3
Sm  0.0000  0.2641  0.5000 x3
Y  0.0000  0.6305  0.5000 x3
Y  0.3333  0.6667  0.5000 x2

For the theoretical density, the calculation gives 4.7 g/cm3. The value obtained for the energy above the most stable polymorph in this dataset is 0 meV/atom. The formation energy is 16.5 kcal/mol of atoms. The spin magnetization is 0.0001 μB per atom. Its electronic total energy is -4.854 eV per atom.



2.
This record from the Alexandria database describes a relaxed Ce3RuRh crystal. The functional is PBE.

Unit cell a=8.688 b=7.254 c=7.920 alpha=90.00 beta=105.31 gamma=90.00
Space group P2_1/c (No. 14)
One atom of each set of equivalent atoms:
Ce  0.045  0.008  0.224 x4
Ce  0.294  0.659  0.110 x4
Ce  0.353  0.181  0.987 x4
Ru  0.061  0.196  0.524 x4
Rh  0.415  0.537  0.805 x4

For the theoretical density, the calculation gives 8.6 g/cm3. The value obtained for the energy above the most stable polymorph in this dataset is 17 meV/atom. The formation energy is -10.4 kcal/mol of atoms. The spin magnetization is 0.2812 μB per atom. Its electronic total energy is -7.337 eV per atom.



> Among the records above, which one has the lowest theoretical density?

La3Sm3Y5